Material: HgHO
Method: DFT, PBE
State: optimized geometry

abc: 5.6671 5.6671 3.6764
angles: 103.54 103.54 53.30
Last column: nearest neighbours and their distance in Å.
Atoms (fractional coordinates):
Hg 0.1274 0.1274 0.1963  1 O 2.16
Hg 0.8726 0.8726 0.8037  1 O 2.16
H 0.3939 0.3939 0.2867  1 O 0.98
H 0.6061 0.6061 0.7133  1 O 0.98
O 0.3431 0.3431 0.4795  1 H 0.98
O 0.6569 0.6569 0.5205  1 H 0.98

Properties
calculated density: 7.91 g cm⁻³
raw total energy: -20.7 eV for the cell shown
total magnetization: 0.000 μB per atom



Material: SrNd3Pt
Method: DFT, PBE
State: optimized geometry

abc: 5.7615 5.7615 5.7615
angles: 90.00 90.00 90.00
Last column: nearest neighbours and their distance in Å.
Atoms (fractional coordinates):
Sr 0.0000 0.0000 0.0000  12 Nd 4.07
Nd 0.0000 0.5000 0.5000  2 Pt 2.88
Nd 0.5000 0.0000 0.5000  2 Pt 2.88
Nd 0.5000 0.5000 0.0000  2 Pt 2.88
Pt 0.5000 0.5000 0.5000  6 Nd 2.88

Properties
E_form: -0.321 eV per atom
calculated density: 6.21 g cm⁻³
raw total energy: -23.6 eV for the cell shown
total magnetization: 0.001 μB per atom



Material: Pr7Sm6
Method: DFT, PBE
State: optimized geometry

abc: 12.2321 12.2321 12.2321
angles: 32.16 32.16 32.16
Last column: nearest neighbours and their distance in Å.
Atoms (fractional coordinates):
Pr 0.0000 0.0000 0.0000  6 Pr 3.43
Pr 0.0938 0.0938 0.5741  5 Pr 3.25-3.52, 2 Sm 3.59-3.63
Pr 0.0938 0.5741 0.0938  5 Pr 3.25-3.52, 2 Sm 3.59-3.63
Pr 0.4259 0.9062 0.9062  5 Pr 3.25-3.52, 2 Sm 3.59-3.63
Pr 0.5741 0.0938 0.0938  5 Pr 3.25-3.52, 2 Sm 3.59-3.63
Pr 0.9062 0.4259 0.9062  5 Pr 3.25-3.52, 2 Sm 3.59-3.63
Pr 0.9062 0.9062 0.4259  5 Pr 3.25-3.52, 2 Sm 3.59-3.63
Sm 0.1645 0.1645 0.1645  6 Pr 3.59-3.63, 3 Sm 3.91
Sm 0.3520 0.3520 0.3520  1 Sm 3.56, 12 Pr 3.90-3.99
Sm 0.4546 0.4546 0.4546  1 Sm 3.16
Sm 0.5454 0.5454 0.5454  1 Sm 3.16
Sm 0.6480 0.6480 0.6480  1 Sm 3.56, 12 Pr 3.90-3.99
Sm 0.8355 0.8355 0.8355  6 Pr 3.59-3.63, 3 Sm 3.91

Properties
E_form: 0.233 eV per atom
calculated density: 6.81 g cm⁻³
raw total energy: -58.7 eV for the cell shown
total magnetization: 0.000 μB per atom



Material: Tm4TlCu2
Method: DFT, PBE
State: optimized geometry

abc: 8.4082 8.4082 8.4082
angles: 34.29 34.29 34.29
Last column: nearest neighbours and their distance in Å.
Atoms (fractional coordinates):
Tm 0.1125 0.1125 0.1125  4 Cu 2.93-3.19, 3 Tl 3.14
Tm 0.3673 0.3673 0.3673  4 Cu 2.85-3.12, 1 Tl 3.15
Tm 0.6327 0.6327 0.6327  4 Cu 2.85-3.12, 1 Tl 3.15
Tm 0.8875 0.8875 0.8875  4 Cu 2.93-3.19, 3 Tl 3.14
Tl 0.5000 0.5000 0.5000  8 Tm 3.14-3.15, 6 Cu 3.44
Cu 0.2471 0.2471 0.2471  8 Tm 2.85-3.19
Cu 0.7529 0.7529 0.7529  8 Tm 2.85-3.19

Properties
E_form: -0.132 eV per atom
calculated density: 9.94 g cm⁻³
raw total energy: -29.4 eV for the cell shown
total magnetization: 0.000 μB per atom



Material: Nb5ZnRh4
Method: DFT, PBE
State: optimized geometry

abc: 2.8742 2.8742 19.4633
angles: 90.00 90.00 90.00
Last column: nearest neighbours and their distance in Å.
Atoms (fractional coordinates):
Nb 0.0000 0.0000 0.0000  8 Rh 2.81, 4 Nb 2.87
Nb 0.0000 0.0000 0.1997  8 Rh 2.81-2.82, 4 Nb 2.87
Nb 0.0000 0.0000 0.3977  4 Rh 2.79, 4 Zn 2.84, 4 Nb 2.87
Nb 0.0000 0.0000 0.6023  4 Rh 2.79, 4 Zn 2.84, 4 Nb 2.87
Nb 0.0000 0.0000 0.8003  8 Rh 2.81-2.82, 4 Nb 2.87
Zn 0.5000 0.5000 0.5000  8 Nb 2.84, 4 Zn 2.87
Rh 0.5000 0.5000 0.0994  8 Nb 2.81-2.82, 4 Rh 2.87
Rh 0.5000 0.5000 0.2995  8 Nb 2.79-2.81, 4 Rh 2.87
Rh 0.5000 0.5000 0.7005  8 Nb 2.79-2.81, 4 Rh 2.87
Rh 0.5000 0.5000 0.9006  8 Nb 2.81-2.82, 4 Rh 2.87

Properties
E_form: -0.332 eV per atom
calculated density: 9.72 g cm⁻³
raw total energy: -84.4 eV for the cell shown
total magnetization: 0.000 μB per atom



Material: YGeSeBr2
Method: DFT, PBE
State: optimized geometry

abc: 5.4972 5.4972 5.5864
angles: 90.00 90.00 90.00
Last column: nearest neighbours and their distance in Å.
Atoms (fractional coordinates):
Y 0.0000 0.0000 0.0000  4 Br 2.75, 2 Se 2.79
Ge 0.5000 0.5000 0.5000  4 Se 3.89, 8 Br 3.92
Se 0.0000 0.0000 0.5000  2 Y 2.79
Br 0.0000 0.5000 0.0000  2 Y 2.75
Br 0.5000 0.0000 0.0000  2 Y 2.75

Properties
calculated density: 3.94 g cm⁻³
raw total energy: -21.3 eV for the cell shown
formation energy (no corrections): -0.670 eV/atom
total magnetization: 0.200 μB per atom



Material: ScCr2Pt
Method: DFT, PBE
State: optimized geometry

abc: 5.1520 5.1520 2.7066
angles: 99.59 99.59 119.78
Last column: nearest neighbours and their distance in Å.
Atoms (fractional coordinates):
Sc 0.0000 0.0000 0.0000  2 Pt 2.58, 4 Cr 2.70, 2 Sc 2.71
Cr 0.0000 0.5000 0.5000  4 Cr 2.58-2.71, 2 Sc 2.70, 2 Pt 2.70
Cr 0.5000 0.0000 0.5000  4 Cr 2.58-2.71, 2 Sc 2.70, 2 Pt 2.70
Pt 0.5000 0.5000 0.0000  2 Sc 2.58, 4 Cr 2.70, 2 Pt 2.71

Properties
E_form: 0.054 eV per atom
calculated density: 9.71 g cm⁻³
raw total energy: -31.4 eV for the cell shown
total magnetization: 0.296 μB per atom



Material: AcLa2ZrN4
Method: DFT, PBE
State: optimized geometry

abc: 6.3166 3.6254 6.4006
angles: 90.00 109.81 90.00
Last column: nearest neighbours and their distance in Å.
Atoms (fractional coordinates):
Ac 0.0000 0.0000 0.0000  6 N 2.63-2.64
La 0.5000 0.0000 0.5000  6 N 2.56-2.58
La 0.5000 0.5000 0.0000  6 N 2.69-2.92
Zr 0.0000 0.5000 0.5000  6 N 2.29-2.46
N 0.2264 0.5000 0.2869  1 Zr 2.29, 2 La 2.56
N 0.2305 0.0000 0.7252  2 Zr 2.46, 3 La 2.58-2.69, 1 Ac 2.64
N 0.7695 0.0000 0.2748  2 Zr 2.46, 3 La 2.58-2.69, 1 Ac 2.64
N 0.7736 0.5000 0.7131  1 Zr 2.29, 2 La 2.56

Properties
calculated density: 7.85 g cm⁻³
raw total energy: -66.0 eV for the cell shown
formation energy (no corrections): -1.267 eV/atom
total magnetization: 0.000 μB per atom